Entry 1:
VASP calculation (PBE) on a relaxed structure of GePd4Se.

a b c (Å): 6.494 3.799 15.946
angles (deg): 90.00 90.00 90.00
Space group Pnma (No. 62)
Inequivalent atoms, fractional coordinates:
Ge 0.172 0.250 0.190
Pd 0.056 0.250 0.335
Pd 0.058 0.750 0.937
Pd 0.114 0.250 0.788
Pd 0.233 0.250 0.597
Se 0.174 0.750 0.437

Results
The calculation puts the volume at 393.4 Å³/cell. The energy relative to the lowest polymorph listed for this composition is 0.0 meV/atom. The calculation puts the size of the total moment at 0.0 μB/f.u.

---

Entry 2:
VASP calculation (PBE) on a relaxed structure of ScAsRu2.

a b c (Å): 3.741 3.741 8.701
angles (deg): 90.00 90.00 90.00
Space group I-4m2 (No. 119)
Inequivalent atoms, fractional coordinates:
Sc 0.000 0.000 0.000
As 0.000 0.500 0.750
Ru 0.000 0.000 0.500
Ru 0.000 0.500 0.250

Results
The calculation puts the volume at 121.8 Å³/cell. For the energy relative to the elements, the calculation gives -0.37 eV/atom. The calculation puts the size of the total moment at 0.0 μB/f.u.

---

Entry 3:
VASP calculation (PBE) on a relaxed structure of TaCo2Br.

a b c (Å): 3.011 4.166 4.585
angles (deg): 90.00 90.00 90.00
Space group Pmmm (No. 47)
Inequivalent atoms, fractional coordinates:
Ta 0.000 0.000 0.000
Co 0.000 0.500 0.500
Co 0.500 0.500 0.000
Br 0.500 0.000 0.500

Results
The calculation puts the volume at 57.5 Å³/cell. The energy relative to the lowest polymorph listed for this composition is 503.9 meV/atom. The calculation puts the size of the total moment at 1.0 μB/f.u.

---

Entry 4:
VASP calculation (PBE) on a relaxed structure of Be8Tl.

a b c (Å): 7.380 7.380 3.449
angles (deg): 90.00 90.00 90.00
Space group I4/mmm (No. 139)
Inequivalent atoms, fractional coordinates:
Be 0.000 0.352 0.000
Be 0.189 0.189 0.500
Tl 0.000 0.000 0.000

Results
The calculation puts the volume at 187.9 Å³/cell. For the energy relative to the elements, the calculation gives 0.45 eV/atom. The calculation puts the size of the total moment at 0.0 μB/f.u.

---

Entry 5:
VASP calculation (PBE) on a relaxed structure of LiScOs2.

a b c (Å): 7.210 7.210 4.813
angles (deg): 90.00 90.00 90.00
Space group I-42d (No. 122)
Inequivalent atoms, fractional coordinates:
Li 0.000 0.000 0.000
Sc 0.000 0.000 0.500
Os 0.195 0.250 0.125

Results
The calculation puts the volume at 250.2 Å³/cell. The energy relative to the lowest polymorph listed for this composition is 554.8 meV/atom. For the energy relative to the elements, the calculation gives 0.52 eV/atom. The calculation puts the size of the total moment at 0.0 μB/f.u.

---

Entry 6:
VASP calculation (PBE) on a relaxed structure of Tb4Nd5Ho.

a b c (Å): 18.302 3.610 10.519
angles (deg): 90.00 96.06 90.00
Space group C2/m (No. 12)
Inequivalent atoms, fractional coordinates:
Tb 0.045 0.000 0.263
Tb 0.182 0.500 0.413
Nd 0.000 0.500 0.000
Nd 0.142 0.000 0.730
Nd 0.190 0.000 0.098
Ho 0.000 0.500 0.500

Results
The calculation puts the volume at 691.1 Å³/cell. The energy relative to the lowest polymorph listed for this composition is 127.4 meV/atom. For the energy relative to the elements, the calculation gives 0.14 eV/atom. The calculation puts the size of the total moment at 0.0 μB/f.u.